Record 1
# NbGa2Si2 (PBE, relaxed)
data_NbGa2Si2
_chemical_formula_sum 'Nb2 Ga4 Si4'
_symmetry_space_group_name_H-M 'P 4/m b m'
_symmetry_Int_Tables_number 127
_symmetry_space_group_name_Hall '-P 4 2ab'
_cell_length_a 6.712
_cell_length_b 6.712
_cell_length_c 3.611
_cell_angle_alpha 90.00
_cell_angle_beta 90.00
_cell_angle_gamma 90.00
loop_
_atom_site_label
_atom_site_fract_x
_atom_site_fract_y
_atom_site_fract_z
_atom_site_occupancy
Nb1 0.000 0.000 0.000 1
Ga1 0.175 0.325 0.500 1
Si1 0.128 0.628 0.000 1
# * crystal system: tetragonal
# * formation energy (no corrections): 0.020 eV per atom
# * D(E_F): 3.4 states/eV/f.u.

Record 2
# ScBeAg2Pb (PBE, relaxed)
data_ScBeAg2Pb
_chemical_formula_sum 'Sc1 Be1 Ag2 Pb1'
_symmetry_space_group_name_H-M 'P 4/m m m'
_symmetry_Int_Tables_number 123
_symmetry_space_group_name_Hall '-P 4 2'
_cell_length_a 5.217
_cell_length_b 5.217
_cell_length_c 4.829
_cell_angle_alpha 90.00
_cell_angle_beta 90.00
_cell_angle_gamma 90.00
loop_
_atom_site_label
_atom_site_fract_x
_atom_site_fract_y
_atom_site_fract_z
_atom_site_occupancy
Sc1 0.000 0.000 0.000 1
Be1 0.000 0.000 0.500 1
Ag1 0.000 0.500 0.000 1
Pb1 0.500 0.500 0.500 1
# * crystal system: tetragonal
# * D(E_F): 3.3 states/eV/f.u.
# * ΔE_f: 0.9518 eV/atom

Record 3
# Y2TaMn (PBE, relaxed)
data_Y2TaMn
_chemical_formula_sum 'Y4 Ta2 Mn2'
_symmetry_space_group_name_H-M 'I m m m'
_symmetry_Int_Tables_number 71
_symmetry_space_group_name_Hall '-I 2 2'
_cell_length_a 3.400
_cell_length_b 4.689
_cell_length_c 10.599
_cell_angle_alpha 90.00
_cell_angle_beta 90.00
_cell_angle_gamma 90.00
loop_
_atom_site_label
_atom_site_fract_x
_atom_site_fract_y
_atom_site_fract_z
_atom_site_occupancy
Y1 0.000 0.000 0.201 1
Ta1 0.000 0.500 0.000 1
Mn1 0.000 0.500 0.500 1
# * crystal system: orthorhombic
# * E above lowest polymorph: 7.62 kcal/mol of atoms
# * D(E_F): 3.5 states/eV/f.u.
# * ΔE_f: 0.4876 eV/atom

Record 4
# BaAgO3 (PBE, relaxed)
data_BaAgO3
_chemical_formula_sum 'Ba4 Ag4 O12'
_symmetry_space_group_name_H-M 'P 1 21/c 1'
_symmetry_Int_Tables_number 14
_cell_length_a 6.774
_cell_length_b 5.636
_cell_length_c 8.488
_cell_angle_alpha 90.00
_cell_angle_beta 98.90
_cell_angle_gamma 90.00
loop_
_symmetry_equiv_pos_as_xyz
'x,y,z'
'-x,-y,-z'
'-x,y+1/2,-z+1/2'
'x,-y+1/2,z+1/2'
loop_
_atom_site_label
_atom_site_fract_x
_atom_site_fract_y
_atom_site_fract_z
_atom_site_occupancy
Ba1 0.133 0.245 0.172 1
Ag1 0.417 0.729 0.572 1
O1 0.130 0.704 0.101 1
O2 0.311 0.075 0.950 1
O3 0.457 0.546 0.837 1
# * crystal system: monoclinic
# * formation energy (no corrections): -0.940 eV per atom
# * D(E_F): 2.3 states/eV/f.u.

Record 5
# Pm2PrGe (PBE, relaxed)
data_Pm2PrGe
_chemical_formula_sum 'Pm16 Pr8 Ge8'
_symmetry_space_group_name_H-M 'C m c e'
_symmetry_Int_Tables_number 64
_symmetry_space_group_name_Hall '-C 2ac 2'
_cell_length_a 8.065
_cell_length_b 20.251
_cell_length_c 6.167
_cell_angle_alpha 90.00
_cell_angle_beta 90.00
_cell_angle_gamma 90.00
loop_
_atom_site_label
_atom_site_fract_x
_atom_site_fract_y
_atom_site_fract_z
_atom_site_occupancy
Pm1 0.000 0.054 0.250 1
Pm2 0.250 0.106 0.750 1
Pr1 0.000 0.250 0.001 1
Ge1 0.250 0.160 0.250 1
# * crystal system: orthorhombic
# * E above lowest polymorph: 0.00 kcal/mol of atoms
# * D(E_F): 5.2 states/eV/f.u.
# * ΔE_f: -0.3562 eV/atom

Record 6
# ReTc3Ge (PBE, relaxed)
data_ReTc3Ge
_chemical_formula_sum 'Re1 Tc3 Ge1'
_symmetry_space_group_name_H-M 'P m -3 m'
_symmetry_Int_Tables_number 221
_symmetry_space_group_name_Hall '-P 4 2 3'
_cell_length_a 4.711
_cell_length_b 4.711
_cell_length_c 4.711
_cell_angle_alpha 90.00
_cell_angle_beta 90.00
_cell_angle_gamma 90.00
loop_
_atom_site_label
_atom_site_fract_x
_atom_site_fract_y
_atom_site_fract_z
_atom_site_occupancy
Re1 0.000 0.000 0.000 1
Tc1 0.000 0.000 0.500 1
Ge1 0.500 0.500 0.500 1
# * crystal system: cubic
# * E above lowest polymorph: 38.81 kcal/mol of atoms
# * D(E_F): 7.3 states/eV/f.u.
# * ΔE_f: 1.6986 eV/atom

no.,electronic total energy (eV/atom)
1,-5.37
2,-2.94
3,-8.00
4,-4.87
5,-5.08
6,-7.93